Record 1
Compound: AgC4OF9
Source: the Open Quantum Materials Database
Functional: GGA-PBE
Structure: relaxed

Cell and atoms, written as POSCAR:
```
AgC4OF9
1.0
6.2939 0.0000 0.0000
0.2696 9.3422 0.0000
0.1866 0.8683 10.0633
Ag C O F
4 16 4 36
Direct
0.1940 0.4784 0.1775
0.2932 0.6123 0.9265
0.7068 0.3877 0.0735
0.8060 0.5216 0.8225
0.0113 0.2937 0.4533
0.0641 0.1400 0.2646
0.0803 0.7459 0.6777
0.2998 0.2079 0.9117
0.3026 0.8082 0.6528
0.3254 0.8197 0.1733
0.4051 0.3246 0.6872
0.4809 0.2850 0.8314
0.5191 0.7150 0.1686
0.5949 0.6754 0.3128
0.6746 0.1803 0.8267
0.6974 0.1918 0.3472
0.7002 0.7921 0.0883
0.9197 0.2541 0.3223
0.9359 0.8600 0.7354
0.9887 0.7063 0.5467
0.0931 0.6234 0.7617
0.4722 0.5937 0.1093
0.5278 0.4063 0.8907
0.9069 0.3766 0.2383
0.0145 0.1196 0.1384
0.0565 0.0133 0.3368
0.0682 0.1770 0.5320
0.1331 0.6273 0.4830
0.1506 0.3062 0.9488
0.1754 0.7606 0.2571
0.1856 0.3747 0.4301
0.1981 0.3672 0.6900
0.2009 0.1119 0.8449
0.2315 0.8490 0.0541
0.2654 0.1869 0.2632
0.3155 0.9115 0.5514
0.3593 0.8663 0.7653
0.3808 0.1394 0.0232
0.3843 0.9443 0.2148
0.4277 0.2124 0.6125
0.4423 0.7012 0.6308
0.4845 0.5660 0.3722
0.5155 0.4340 0.6278
0.5577 0.2988 0.3692
0.5723 0.7876 0.3875
0.6157 0.0557 0.7852
0.6192 0.8606 0.9768
0.6407 0.1337 0.2347
0.6845 0.0885 0.4486
0.7346 0.8131 0.7368
0.7685 0.1510 0.9459
0.7991 0.8881 0.1551
0.8019 0.6328 0.3100
0.8144 0.6253 0.5699
0.8246 0.2394 0.7429
0.8494 0.6938 0.0512
0.8669 0.3727 0.5170
0.9318 0.8230 0.4680
0.9435 0.9867 0.6632
0.9855 0.8804 0.8616
```

Record 2
Compound: AgCSO3F3
Source: the Open Quantum Materials Database
Functional: GGA-PBE
Structure: relaxed

Cell and atoms, written as POSCAR:
```
AgCSO3F3
1.0
2.5054 1.4465 10.6224
-2.5054 1.4465 10.6224
0.0000 -2.8930 10.6224
Ag C S O F
2 2 2 6 6
Direct
0.1654 0.1654 0.1654
0.8346 0.8346 0.8346
0.3798 0.3798 0.3798
0.6202 0.6202 0.6202
0.4372 0.4372 0.4372
0.5628 0.5628 0.5628
0.1605 0.7281 0.4558
0.2719 0.5442 0.8395
0.4558 0.1605 0.7281
0.5442 0.8395 0.2719
0.7281 0.4558 0.1605
0.8395 0.2719 0.5442
0.1305 0.3327 0.6352
0.3327 0.6352 0.1305
0.3648 0.8695 0.6673
0.6352 0.1305 0.3327
0.6673 0.3648 0.8695
0.8695 0.6673 0.3648
```

Record 3
Compound: FeAg2C4
Source: the Open Quantum Materials Database
Functional: GGA-PBE
Structure: relaxed

Total magnetization: 0.0 μB per formula unit

Cell and atoms, written as POSCAR:
```
FeAg2C4
1.0
-3.2659 5.8760 2.3909
3.2659 -5.8760 2.3909
3.2659 5.8760 -2.3909
Fe Ag C
2 4 8
Direct
0.2500 0.2500 0.0000
0.7500 0.7500 0.0000
0.1651 0.6454 0.8105
0.3349 0.1454 0.4802
0.6651 0.8546 0.5198
0.8349 0.3546 0.1895
0.0797 0.1637 0.2434
0.1586 0.3069 0.4654
0.3414 0.8069 0.1483
0.4203 0.6637 0.0841
0.5797 0.3363 0.9159
0.6586 0.1931 0.8517
0.8414 0.6931 0.5346
0.9203 0.8363 0.7566
```

Record 4
Compound: FeAg3C6N6
Source: the Open Quantum Materials Database
Functional: GGA-PBE
Structure: relaxed

Total magnetization: 1.0 μB per formula unit

Cell and atoms, written as POSCAR:
```
FeAg3C6N6
1.0
6.8341 0.0000 0.0000
-3.4170 5.9185 0.0000
0.0000 0.0000 7.3502
Fe Ag C N
1 3 6 6
Direct
0.0000 0.0000 0.0000
0.0000 0.5000 0.5000
0.5000 0.0000 0.5000
0.5000 0.5000 0.5000
0.0000 0.2162 0.1577
0.0000 0.7838 0.8423
0.2162 0.0000 0.1577
0.2162 0.2162 0.8423
0.7838 0.0000 0.8423
0.7838 0.7838 0.1577
0.0000 0.3406 0.2675
0.0000 0.6594 0.7325
0.3406 0.0000 0.2675
0.3406 0.3406 0.7325
0.6594 0.0000 0.7325
0.6594 0.6594 0.2675
```

Record 5
Compound: Nb4GaAgC2
Source: the Open Quantum Materials Database
Functional: GGA-PBE
Structure: relaxed

Total magnetization: 0.0 μB per formula unit

Cell and atoms, written as POSCAR:
```
Nb4GaAgC2
1.0
3.1570 0.0000 0.0000
-1.5785 2.7341 0.0000
0.0000 0.0000 13.9823
Nb Ga Ag C
4 1 1 2
Direct
0.0000 0.0000 0.1569
0.0000 0.0000 0.8431
0.3333 0.6667 0.3292
0.3333 0.6667 0.6708
0.3333 0.6667 0.0000
0.0000 0.0000 0.5000
0.6667 0.3333 0.2447
0.6667 0.3333 0.7553
```

Record 6
Compound: Gd2AgWC3
Source: the Open Quantum Materials Database
Functional: GGA-PBE
Structure: relaxed

Total magnetization: 0.4 μB per formula unit

Cell and atoms, written as POSCAR:
```
Gd2AgWC3
1.0
5.9698 -1.7466 0.0000
5.9698 1.7466 0.0000
-2.2264 0.0000 5.3011
Gd Ag W C
2 1 1 3
Direct
0.0000 0.0000 0.0000
0.2172 0.2172 0.6785
0.7429 0.7429 0.1490
0.4340 0.4340 0.4816
0.3867 0.3867 0.1091
0.5897 0.5897 0.7783
0.8521 0.8521 0.5641
```

Record 7
Compound: AgH4C6IN
Source: the Open Quantum Materials Database
Functional: GGA-PBE
Structure: relaxed

Cell and atoms, written as POSCAR:
```
AgH4C6IN
1.0
15.0574 0.0000 0.0000
0.0000 4.4979 0.0000
-7.7710 0.0000 20.6374
Ag H C I N
8 32 48 8 8
Direct
0.0707 0.0114 0.2417
0.0707 0.4886 0.7417
0.2538 0.0988 0.7097
0.2538 0.4012 0.2097
0.7462 0.5988 0.7903
0.7462 0.9012 0.2903
0.9293 0.5114 0.2583
0.9293 0.9886 0.7583
0.0627 0.7434 0.9946
0.0627 0.7566 0.4946
0.1030 0.5516 0.6067
0.1030 0.9484 0.1067
0.1532 0.5767 0.4259
0.1532 0.9233 0.9259
0.2805 0.2499 0.4148
0.2805 0.2501 0.9148
0.4106 0.6070 0.9628
0.4106 0.8930 0.4628
0.4425 0.6374 0.7329
0.4425 0.8626 0.2329
0.4537 0.5582 0.3258
0.4537 0.9418 0.8258
0.4875 0.1009 0.9404
0.4875 0.3991 0.4404
0.5125 0.6009 0.5596
0.5125 0.8991 0.0596
0.5463 0.0582 0.1742
0.5463 0.4418 0.6742
0.5575 0.1374 0.7671
0.5575 0.3626 0.2671
0.5894 0.1070 0.5372
0.5894 0.3930 0.0372
0.7195 0.7499 0.0852
0.7195 0.7501 0.5852
0.8468 0.0767 0.0741
0.8468 0.4233 0.5741
0.8970 0.0516 0.8933
0.8970 0.4484 0.3933
0.9373 0.2434 0.5054
0.9373 0.2566 0.0054
0.1197 0.5943 0.5131
0.1197 0.9057 0.0131
0.1425 0.0194 0.0761
0.1425 0.4806 0.5761
0.1699 0.0043 0.9754
0.1699 0.4957 0.4754
0.2442 0.2102 0.0016
0.2442 0.2898 0.5016
0.2638 0.1923 0.5664
0.2638 0.3077 0.0664
0.2986 0.1780 0.4650
0.2986 0.3220 0.9650
0.3414 0.5136 0.0951
0.3414 0.9864 0.5951
0.3707 0.5196 0.9917
0.3707 0.9804 0.4917
0.3946 0.6177 0.0572
0.3946 0.8823 0.5572
0.4312 0.7070 0.6832
0.4312 0.7930 0.1832
0.4697 0.6830 0.5869
0.4697 0.8170 0.0869
0.4882 0.5945 0.6501
0.4882 0.9055 0.1501
0.5118 0.0945 0.8499
0.5118 0.4055 0.3499
0.5303 0.1830 0.9131
0.5303 0.3170 0.4131
0.5688 0.2070 0.8168
0.5688 0.2930 0.3168
0.6054 0.1177 0.4428
0.6054 0.3823 0.9428
0.6293 0.0196 0.5083
0.6293 0.4804 0.0083
0.6586 0.0136 0.4049
0.6586 0.4864 0.9049
0.7014 0.6780 0.0350
0.7014 0.8220 0.5350
0.7362 0.6923 0.9336
0.7362 0.8077 0.4336
0.7558 0.7102 0.4984
0.7558 0.7898 0.9984
0.8301 0.5043 0.5246
0.8301 0.9957 0.0246
0.8575 0.5194 0.4239
0.8575 0.9806 0.9239
0.8803 0.0943 0.9869
0.8803 0.4057 0.4869
0.0020 0.0009 0.6546
0.0020 0.4991 0.1546
0.2706 0.5968 0.7917
0.2706 0.9032 0.2917
0.7294 0.0968 0.7083
0.7294 0.4032 0.2083
0.9980 0.5009 0.8454
0.9980 0.9991 0.3454
0.2118 0.2153 0.1020
0.2118 0.2847 0.6020
0.3608 0.6013 0.1571
0.3608 0.8987 0.6571
0.6392 0.1013 0.3429
0.6392 0.3987 0.8429
0.7882 0.7153 0.3980
0.7882 0.7847 0.8980
```

Record 8
Compound: AgH9C5I2N2
Source: the Open Quantum Materials Database
Functional: GGA-PBE
Structure: relaxed

Cell and atoms, written as POSCAR:
```
AgH9C5I2N2
1.0
7.3615 0.0000 0.0000
0.0000 13.0398 0.0000
-5.3154 0.0000 10.6137
Ag H C I N
4 36 20 8 8
Direct
0.2464 0.0081 0.0043
0.2464 0.4918 0.5043
0.7536 0.5082 0.4957
0.7536 0.9918 0.9957
0.0327 0.0616 0.6303
0.0327 0.4384 0.1303
0.1232 0.0624 0.2266
0.1232 0.4376 0.7266
0.1658 0.2159 0.7272
0.1658 0.2841 0.2272
0.1804 0.5980 0.0155
0.1804 0.9020 0.5155
0.1806 0.6246 0.8668
0.1806 0.8754 0.3668
0.3805 0.0529 0.6261
0.3805 0.4471 0.1261
0.3896 0.2269 0.2295
0.3896 0.2731 0.7295
0.4122 0.1818 0.8479
0.4122 0.3182 0.3479
0.4830 0.2396 0.5509
0.4830 0.2604 0.0509
0.5170 0.7396 0.9491
0.5170 0.7604 0.4491
0.5878 0.6818 0.6521
0.5878 0.8182 0.1521
0.6104 0.7269 0.2705
0.6104 0.7731 0.7705
0.6195 0.5529 0.8739
0.6195 0.9471 0.3739
0.8194 0.1246 0.6332
0.8194 0.3754 0.1332
0.8196 0.0980 0.4845
0.8196 0.4020 0.9845
0.8342 0.7159 0.7728
0.8342 0.7841 0.2728
0.8768 0.5624 0.2734
0.8768 0.9376 0.7734
0.9673 0.5616 0.8697
0.9673 0.9384 0.3697
0.1332 0.5703 0.9192
0.1332 0.9297 0.4192
0.2063 0.0852 0.3247
0.2063 0.4148 0.8247
0.3194 0.2439 0.7874
0.3194 0.2561 0.2874
0.3441 0.0839 0.5334
0.3441 0.4161 0.0334
0.3948 0.1745 0.4966
0.3948 0.3255 0.9966
0.6052 0.6745 0.0034
0.6052 0.8255 0.5034
0.6559 0.5839 0.9666
0.6559 0.9161 0.4666
0.6806 0.7439 0.7126
0.6806 0.7561 0.2126
0.7937 0.5852 0.1753
0.7937 0.9148 0.6753
0.8668 0.0703 0.5808
0.8668 0.4297 0.0808
0.0717 0.6572 0.5810
0.0717 0.8428 0.0810
0.3595 0.5747 0.3166
0.3595 0.9253 0.8166
0.6405 0.0747 0.1834
0.6405 0.4253 0.6834
0.9283 0.1572 0.9190
0.9283 0.3428 0.4190
0.2265 0.0296 0.4249
0.2265 0.4704 0.9249
0.3082 0.1734 0.3669
0.3082 0.3266 0.8669
0.6918 0.6734 0.1331
0.6918 0.8266 0.6331
0.7735 0.5296 0.0751
0.7735 0.9704 0.5751
```

| no. | total DFT energy (no corrections) (eV for the cell shown) |
| --- | --- |
| 1 | -320.82 |
| 2 | -94.40 |
| 3 | -87.66 |
| 4 | -115.41 |
| 5 | -67.60 |
| 6 | -52.61 |
| 7 | -654.49 |
| 8 | -407.12 |